# TlCd2Ga2

A geometry-optimized TlCd2Ga2 structure (PBEsol, Alexandria).

DFT formation energy in meV/atom: 77
Size of the total moment in μB/atom: 0.00
Total DFT energy (no corrections) in eV/atom: -2.264

The structure in CIF format:
```
data_TlCd2Ga2
_chemical_formula_sum 'Tl2 Cd4 Ga4'
_cell_length_a 4.0840
_cell_length_b 4.0840
_cell_length_c 13.2840
_cell_angle_alpha 90.00
_cell_angle_beta 90.00
_cell_angle_gamma 90.00
_space_group_name_H-M_alt 'I 4/m m m'
_space_group_IT_number 139
_space_group_name_Hall '-I 4 2'
loop_
_atom_site_label
_atom_site_type_symbol
_atom_site_fract_x
_atom_site_fract_y
_atom_site_fract_z
Tl1 Tl 0.0000 0.0000 0.0000
Cd1 Cd 0.0000 0.0000 0.3947
Ga1 Ga 0.0000 0.5000 0.2500
```

# Tl2CdGa2

A geometry-optimized Tl2CdGa2 structure (PBEsol, Alexandria).

DFT formation energy in meV/atom: 75
Size of the total moment in μB/atom: 0.00
Total DFT energy (no corrections) in eV/atom: -2.552

The structure in CIF format:
```
data_Tl2CdGa2
_chemical_formula_sum 'Tl4 Cd2 Ga4'
_cell_length_a 7.0305
_cell_length_b 7.0305
_cell_length_c 4.7481
_cell_angle_alpha 90.00
_cell_angle_beta 90.00
_cell_angle_gamma 90.00
_space_group_name_H-M_alt 'P 4/m b m'
_space_group_IT_number 127
_space_group_name_Hall '-P 4 2ab'
loop_
_atom_site_label
_atom_site_type_symbol
_atom_site_fract_x
_atom_site_fract_y
_atom_site_fract_z
Tl1 Tl 0.1744 0.3256 0.0000
Cd1 Cd 0.0000 0.0000 0.5000
Ga1 Ga 0.1311 0.6311 0.5000
```

# TlCd2Ga2

A geometry-optimized TlCd2Ga2 structure (PBEsol, Alexandria).

DFT formation energy in meV/atom: 77
Size of the total moment in μB/atom: 0.00
Total DFT energy (no corrections) in eV/atom: -2.263

The structure in CIF format:
```
data_TlCd2Ga2
_chemical_formula_sum 'Tl2 Cd4 Ga4'
_cell_length_a 8.5300
_cell_length_b 8.5300
_cell_length_c 3.0024
_cell_angle_alpha 90.00
_cell_angle_beta 90.00
_cell_angle_gamma 90.00
_space_group_name_H-M_alt 'P 4/m b m'
_space_group_IT_number 127
_space_group_name_Hall '-P 4 2ab'
loop_
_atom_site_label
_atom_site_type_symbol
_atom_site_fract_x
_atom_site_fract_y
_atom_site_fract_z
Tl1 Tl 0.0000 0.0000 0.0000
Cd1 Cd 0.1463 0.3537 0.0000
Ga1 Ga 0.1496 0.6496 0.5000
```

# Zn2CdGa2

A geometry-optimized Zn2CdGa2 structure (PBEsol, Alexandria).

DFT formation energy in meV/atom: 80
Size of the total moment in μB/atom: 0.00
Total DFT energy (no corrections) in eV/atom: -2.128
Excess energy over the best structure of this formula in the dataset in meV/atom: 0.0

The structure in CIF format:
```
data_Zn2CdGa2
_chemical_formula_sum 'Zn4 Cd2 Ga4'
_cell_length_a 3.9054
_cell_length_b 3.9054
_cell_length_c 11.6160
_cell_angle_alpha 90.00
_cell_angle_beta 90.00
_cell_angle_gamma 90.00
_space_group_name_H-M_alt 'I 4/m m m'
_space_group_IT_number 139
_space_group_name_Hall '-I 4 2'
loop_
_atom_site_label
_atom_site_type_symbol
_atom_site_fract_x
_atom_site_fract_y
_atom_site_fract_z
Zn1 Zn 0.0000 0.5000 0.2500
Cd1 Cd 0.0000 0.0000 0.0000
Ga1 Ga 0.0000 0.0000 0.3942
```

# ZnCdGa2

A geometry-optimized ZnCdGa2 structure (PBEsol, Alexandria).

DFT formation energy in meV/atom: 99
Size of the total moment in μB/atom: 0.00
Total DFT energy (no corrections) in eV/atom: -2.266
Excess energy over the best structure of this formula in the dataset in meV/atom: 0.0

The structure in CIF format:
```
data_ZnCdGa2
_chemical_formula_sum 'Zn4 Cd4 Ga8'
_cell_length_a 4.0754
_cell_length_b 4.0754
_cell_length_c 17.9636
_cell_angle_alpha 90.00
_cell_angle_beta 90.00
_cell_angle_gamma 90.00
_space_group_name_H-M_alt 'I -4 2 d'
_space_group_IT_number 122
_space_group_name_Hall 'I -4 2bw'
loop_
_atom_site_label
_atom_site_type_symbol
_atom_site_fract_x
_atom_site_fract_y
_atom_site_fract_z
Zn1 Zn 0.0000 0.0000 0.0000
Cd1 Cd 0.0000 0.0000 0.5000
Ga1 Ga 0.2243 0.2500 0.1250
```

# Zn2CdGa2

A geometry-optimized Zn2CdGa2 structure (PBEsol, Alexandria).

DFT formation energy in meV/atom: 91
Size of the total moment in μB/atom: 0.00
Total DFT energy (no corrections) in eV/atom: -2.117
Excess energy over the best structure of this formula in the dataset in meV/atom: 11.0

The structure in CIF format:
```
data_Zn2CdGa2
_chemical_formula_sum 'Zn4 Cd2 Ga4'
_cell_length_a 7.9380
_cell_length_b 7.9380
_cell_length_c 2.7794
_cell_angle_alpha 90.00
_cell_angle_beta 90.00
_cell_angle_gamma 90.00
_space_group_name_H-M_alt 'P 4/m b m'
_space_group_IT_number 127
_space_group_name_Hall '-P 4 2ab'
loop_
_atom_site_label
_atom_site_type_symbol
_atom_site_fract_x
_atom_site_fract_y
_atom_site_fract_z
Zn1 Zn 0.1688 0.3312 0.0000
Cd1 Cd 0.0000 0.0000 0.5000
Ga1 Ga 0.1288 0.6288 0.5000
```